DFT (PBE) results for NbRuRh after structural relaxation.

Calculated values
The offset from the most stable computed form is 0 meV/atom. As for the magnetization: 0.0 μB/f.u. As for the formation energy: -1.0 eV per formula unit. The value obtained for the density of states at the Fermi level is 0.645 states/eV per atom.

abc: 4.4163 4.4163 5.4843
angles: 90.00 90.00 120.00
With the nearest neighbours (Å) after each atom.
Fractional coordinates of all 6 atoms:
Nb1 0.3333 0.6667 0.2500  5 Rh 2.55-2.74
Nb2 0.6667 0.3333 0.7500  5 Rh 2.55-2.74
Ru1 0.0000 0.0000 0.0000  2 Ru 2.74, 6 Nb 2.89, 6 Rh 2.89
Ru2 0.0000 0.0000 0.5000  2 Ru 2.74, 6 Nb 2.89, 6 Rh 2.89
Rh1 0.3333 0.6667 0.7500  5 Nb 2.55-2.74
Rh2 0.6667 0.3333 0.2500  5 Nb 2.55-2.74

***

DFT (PBE) results for Pu3Te3O after structural relaxation.

Calculated values
The offset from the most stable computed form is 0 meV/atom. As for the magnetization: 16.0 μB/f.u. The value obtained for the density of states at the Fermi level is 3.587 states/eV per atom. The uncorrected formation energy is -1.51 eV per atom.

abc: 7.5285 7.5285 7.5441
angles: 96.52 96.52 110.63
With the nearest neighbours (Å) after each atom.
Fractional coordinates of all 14 atoms:
Pu1 0.0972 0.0972 0.3333  2 O 2.36-2.38
Pu2 0.1477 0.4467 0.7841  1 O 2.25
Pu3 0.4467 0.1477 0.7841  1 O 2.25
Pu4 0.5533 0.8523 0.2159  1 O 2.25
Pu5 0.8523 0.5533 0.2159  1 O 2.25
Pu6 0.9028 0.9028 0.6667  2 O 2.36-2.38
Te1 0.1627 0.8373 0.0000  6 Pu 3.15-3.29
Te2 0.2461 0.7539 0.5000  6 Pu 3.21-3.46, 2 O 3.49
Te3 0.3922 0.3922 0.1615  5 Pu 3.06-3.36, 1 Te 3.34
Te4 0.6078 0.6078 0.8385  5 Pu 3.06-3.36, 1 Te 3.34
Te5 0.7539 0.2461 0.5000  6 Pu 3.21-3.46, 2 O 3.49
Te6 0.8373 0.1627 0.0000  6 Pu 3.15-3.29
O1 0.1776 0.1776 0.6515  4 Pu 2.25-2.38
O2 0.8224 0.8224 0.3485  4 Pu 2.25-2.38

***

DFT (PBE) results for Li2HIr after structural relaxation.

Calculated values
The offset from the most stable computed form is 868 meV/atom. As for the magnetization: 0.0 μB/f.u. The value obtained for the density of states at the Fermi level is 0.350 states/eV per atom.

abc: 4.0421 4.0421 4.0421
angles: 60.00 60.00 60.00
With the nearest neighbours (Å) after each atom.
Fractional coordinates of all 4 atoms:
Li1 0.2500 0.2500 0.2500  4 H 2.48, 4 Ir 2.48
Li2 0.7500 0.7500 0.7500  4 H 2.48, 4 Ir 2.48
H1 0.0000 0.0000 0.0000  8 Li 2.48
Ir1 0.5000 0.5000 0.5000  8 Li 2.48

***

DFT (PBE) results for PHPbS2 after structural relaxation.

Calculated values
The offset from the most stable computed form is 869 meV/atom. As for the magnetization: 2.6 μB/f.u. The value obtained for the density of states at the Fermi level is 1.093 states/eV per atom.

abc: 5.2753 5.2753 5.4562
angles: 90.00 90.00 90.00
With the nearest neighbours (Å) after each atom.
Fractional coordinates of all 5 atoms:
P1 0.0000 0.0000 0.0000  2 Pb 2.73
H1 0.5000 0.5000 0.0000  4 P 3.73, 8 S 3.79
Pb1 0.0000 0.0000 0.5000  4 S 2.64, 2 P 2.73
S1 0.0000 0.5000 0.5000  2 Pb 2.64
S2 0.5000 0.0000 0.5000  2 Pb 2.64

***

DFT (PBE) results for La3CoP after structural relaxation.

Calculated values
The offset from the most stable computed form is 0 meV/atom. As for the magnetization: 0.0 μB/f.u. As for the formation energy: -1.5 eV per formula unit. The value obtained for the density of states at the Fermi level is 0.768 states/eV per atom.

abc: 5.1856 5.1856 5.1856
angles: 90.00 90.00 90.00
With the nearest neighbours (Å) after each atom.
Fractional coordinates of all 5 atoms:
La1 0.0000 0.0000 0.5000  2 Co 2.59
La2 0.0000 0.5000 0.0000  2 Co 2.59
La3 0.5000 0.0000 0.0000  2 Co 2.59
Co1 0.0000 0.0000 0.0000  6 La 2.59
P1 0.5000 0.5000 0.5000  12 La 3.67

***

DFT (PBE) results for P5Rh3 after structural relaxation.

Calculated values
As for the magnetization: 0.0 μB/f.u. As for the formation energy: 0.1 eV per formula unit. The value obtained for the density of states at the Fermi level is 0.420 states/eV per atom.

abc: 5.5643 5.5643 4.1703
angles: 90.00 90.00 116.69
With the nearest neighbours (Å) after each atom.
Fractional coordinates of all 8 atoms:
P1 0.0000 0.0000 0.0000  8 P 2.58-2.78
P2 0.0000 0.5000 0.0000  6 Rh 2.59-2.78, 2 P 2.78
P3 0.2590 0.2590 0.5000  4 Rh 2.35-2.52, 2 P 2.58
P4 0.5000 0.0000 0.0000  6 Rh 2.59-2.78, 2 P 2.78
P5 0.7410 0.7410 0.5000  4 Rh 2.35-2.52, 2 P 2.58
Rh1 0.3009 0.6991 0.5000  6 P 2.35-2.59
Rh2 0.5000 0.5000 0.0000  8 P 2.52-2.78, 4 Rh 2.81
Rh3 0.6991 0.3009 0.5000  6 P 2.35-2.59

***

| no. | DFT total energy (eV/atom) |
| --- | --- |
| 1 | -9.223 |
| 2 | -9.711 |
| 3 | -3.329 |
| 4 | -2.779 |
| 5 | -5.769 |
| 6 | -6.126 |